! SmDy7Sc4 PBE relaxed; values from VASP
! * energy: -5.167 eV/atom
! * formation energy: 2.04 kJ/mol of atoms
! * ρ: 6.962 Mg/m³
&SYSTEM
  ibrav = 0, nat = 12, ntyp = 3
/
ATOMIC_SPECIES
Sm 150.36 Sm.upf
Dy 162.50 Dy.upf
Sc 44.96 Sc.upf
CELL_PARAMETERS angstrom
6.680 1.812 0.825
4.976 7.404 2.335
-0.944 -0.389 8.503
ATOMIC_POSITIONS angstrom
Sm 0.000 0.000 0.000
Dy 7.522 5.081 1.836
Dy 3.189 3.745 9.826
Dy 7.286 3.610 7.079
Dy 3.425 5.216 4.584
Dy 4.735 5.893 7.634
Dy 3.340 0.906 0.413
Dy 5.976 2.933 4.029
Sc 6.832 6.199 5.003
Sc 3.879 2.628 6.660
Sc 8.058 6.843 8.032
Sc 2.653 1.983 3.631